Below is a relaxed SmRh2C crystal, with properties calculated at the PBE-GGA level.

a = 3.7710 Å, b = 3.7710 Å, c = 15.9137 Å
α = 90.00°, β = 90.00°, γ = 120.00°
Closest atoms and distances in Å follow each position.
Fractional positions:
1 Sm 0.0000 0.0000 0.0000  6 Rh 2.95
2 Sm 0.3333 0.6667 0.6667  6 Rh 2.95
3 Sm 0.6667 0.3333 0.3333  6 Rh 2.95
4 Rh 0.0000 0.0000 0.2084  3 C 2.28
5 Rh 0.0000 0.0000 0.7916  3 C 2.28
6 Rh 0.3333 0.6667 0.4583  3 C 2.28
7 Rh 0.3333 0.6667 0.8750  3 C 2.28
8 Rh 0.6667 0.3333 0.1250  3 C 2.28
9 Rh 0.6667 0.3333 0.5417  3 C 2.28
10 C 0.0000 0.0000 0.5000  6 Rh 2.28
11 C 0.3333 0.6667 0.1667  6 Rh 2.28
12 C 0.6667 0.3333 0.8333  6 Rh 2.28

Output
- mass density (g/cm3) = 9.4
- total energy (eV per atom) = -6.968
- total magnetization (μB per formula unit) = 0.00
- formation energy (eV per atom) = 0.193